SrBF (GGA-PBE, relaxed); SG = P1; formation energy (no corrections) = -1.83 eV/atom; distance to the lowest polymorph of the same formula = 0.038 eV/atom
1.0
-1.9161 1.7595 -1.9694
-4.2040 -0.7333 0.7308
-1.6924 4.6879 5.8130
B Sr F
2 2 2
Direct
0.8159 0.0130 0.7117
0.3403 0.9641 0.7100
0.1449 0.3617 0.0013
0.0150 0.6175 0.4537
0.8755 0.8997 0.1140
0.6401 0.3690 0.2806


SrB3F (GGA-PBE, relaxed); SG = Pm-3m; formation energy (no corrections) = 2.60 eV/atom; distance to the lowest polymorph of the same formula = 1.132 eV/atom
1.0
5.6055 0.0000 0.0000
0.0000 5.6055 0.0000
0.0000 0.0000 5.6055
B Sr F
3 1 1
Direct
0.0000 0.5000 0.0000
0.0000 0.0000 0.5000
0.5000 0.0000 0.0000
0.0000 0.0000 0.0000
0.5000 0.5000 0.5000


SrTi2BF (GGA-PBE, relaxed); SG = P4/mmm; formation energy (no corrections) = 1.42 eV/atom
1.0
-1.2209 1.2633 5.1410
1.5359 -3.7502 1.2863
4.9167 2.2265 0.6205
Sr B Ti F
1 1 2 1
Direct
0.0000 0.0000 0.0000
0.5000 0.5000 0.5000
0.0000 0.0000 0.5000
0.5000 0.0000 0.0000
0.0000 0.5000 0.0000


SrTlBF6 (GGA-PBE, relaxed); SG = P312; formation energy (no corrections) = -2.63 eV/atom
1.0
-0.7961 1.6353 5.3580
-5.1353 1.6310 1.7273
-1.1890 -5.2559 1.4275
F Tl B Sr
6 1 1 1
Direct
0.0958 0.3325 0.3277
0.3324 0.0958 0.6722
0.5717 0.3325 0.6722
0.5717 0.0958 0.3278
0.3324 0.5717 0.3278
0.0958 0.5717 0.6722
0.0000 0.0000 0.0000
0.3333 0.3333 0.5000
0.6666 0.6667 0.5000


Spin magnetization for every record listed, in sequence, given in μB/cell: 0.0 3.9 4.6 0.0.